DFT (PBE-GGA) results for an optimized crystal structure of Pm6Nd12Mg.

Output
ΔE to the lowest computed polymorph   0.011 eV per atom
D(E_F)   1.540 states/eV/atom
Formation energy from the elements   2.35 eV/f.u.
E_tot   -254.89 eV for the cell shown
Magnetic moment   0.00 μB per formula unit

```
data_Pm6Nd12Mg
_chemical_formula_sum 'Pm18 Nd36 Mg3'
_symmetry_space_group_name_H-M 'R -3 m'
_symmetry_Int_Tables_number 166
_symmetry_space_group_name_Hall '-R 3 2"'
_cell_length_a 13.3288
_cell_length_b 13.3288
_cell_length_c 13.1829
_cell_angle_alpha 90.00
_cell_angle_beta 90.00
_cell_angle_gamma 120.00
loop_
_atom_site_label
_atom_site_type_symbol
_atom_site_fract_x
_atom_site_fract_y
_atom_site_fract_z
Pm1 Pm 0.0904 0.1807 0.2740
Nd1 Nd 0.0000 0.2614 0.5000
Nd2 Nd 0.0592 0.5296 0.6115
Mg1 Mg 0.0000 0.0000 0.5000
```

***

DFT (PBE-GGA) results for an optimized crystal structure of Tb3Nd7Ho2.

Output
ΔE to the lowest computed polymorph   0.000 eV per atom
D(E_F)   1.595 states/eV/atom
Formation energy from the elements   1.34 eV/f.u.
E_tot   -110.17 eV for the cell shown
Magnetic moment   0.00 μB per formula unit

```
data_Tb3Nd7Ho2
_chemical_formula_sum 'Tb6 Nd14 Ho4'
_symmetry_space_group_name_H-M 'C m m m'
_symmetry_Int_Tables_number 65
_symmetry_space_group_name_Hall '-C 2 2'
_cell_length_a 5.8284
_cell_length_b 38.4479
_cell_length_c 3.6359
_cell_angle_alpha 90.00
_cell_angle_beta 90.00
_cell_angle_gamma 90.00
loop_
_atom_site_label
_atom_site_type_symbol
_atom_site_fract_x
_atom_site_fract_y
_atom_site_fract_z
Tb1 Tb 0.0000 0.0000 0.0000
Tb2 Tb 0.0000 0.1844 0.0000
Nd1 Nd 0.0000 0.0931 0.5000
Nd2 Nd 0.0000 0.2679 0.5000
Nd3 Nd 0.0000 0.4271 0.0000
Nd4 Nd 0.0000 0.5000 0.5000
Ho1 Ho 0.0000 0.3512 0.5000
```

***

DFT (PBE-GGA) results for an optimized crystal structure of DySbRh.

Output
D(E_F)   0.570 states/eV/atom
E_tot   -76.41 eV for the cell shown
Magnetic moment   0.00 μB per formula unit
Formation energy from raw total energies   -97.38 kJ/mol of atoms

```
data_DySbRh
_chemical_formula_sum 'Dy4 Sb4 Rh4'
_symmetry_space_group_name_H-M 'P n m a'
_symmetry_Int_Tables_number 62
_cell_length_a 7.1674
_cell_length_b 4.5699
_cell_length_c 7.8350
_cell_angle_alpha 90.00
_cell_angle_beta 90.00
_cell_angle_gamma 90.00
loop_
_symmetry_equiv_pos_as_xyz
'x,y,z'
'-x,-y,-z'
'-x+1/2,-y,z+1/2'
'x+1/2,y,-z+1/2'
'x+1/2,-y+1/2,-z+1/2'
'-x+1/2,y+1/2,z+1/2'
'-x,y+1/2,-z'
'x,-y+1/2,z'
loop_
_atom_site_label
_atom_site_type_symbol
_atom_site_fract_x
_atom_site_fract_y
_atom_site_fract_z
Dy1 Dy 0.0096 0.2500 0.2006
Sb1 Sb 0.1923 0.2500 0.5909
Rh1 Rh 0.1980 0.7500 0.4180
```

***

DFT (PBE-GGA) results for an optimized crystal structure of CdGeNO2.

Output
D(E_F)   0.507 states/eV/atom
E_tot   -19.56 eV for the cell shown
Magnetic moment   1.88 μB per formula unit
Formation energy from raw total energies   81.29 kJ/mol of atoms

```
data_CdGeNO2
_chemical_formula_sum 'Cd1 Ge1 N1 O2'
_symmetry_space_group_name_H-M 'P 4/m m m'
_symmetry_Int_Tables_number 123
_symmetry_space_group_name_Hall '-P 4 2'
_cell_length_a 4.2322
_cell_length_b 4.2322
_cell_length_c 4.1581
_cell_angle_alpha 90.00
_cell_angle_beta 90.00
_cell_angle_gamma 90.00
loop_
_atom_site_label
_atom_site_type_symbol
_atom_site_fract_x
_atom_site_fract_y
_atom_site_fract_z
Cd1 Cd 0.0000 0.0000 0.0000
Ge1 Ge 0.5000 0.5000 0.5000
N1 N 0.0000 0.0000 0.5000
O1 O 0.0000 0.5000 0.0000
```

***

DFT (PBE-GGA) results for an optimized crystal structure of TaPdSe4.

Output
ΔE to the lowest computed polymorph   0.097 eV per atom
D(E_F)   0.636 states/eV/atom
E_tot   -132.97 eV for the cell shown
Magnetic moment   0.00 μB per formula unit
Formation energy from raw total energies   -36.32 kJ/mol of atoms

```
data_TaPdSe4
_chemical_formula_sum 'Ta4 Pd4 Se16'
_symmetry_space_group_name_H-M 'C 1 2/c 1'
_symmetry_Int_Tables_number 15
_cell_length_a 8.3587
_cell_length_b 14.4035
_cell_length_c 5.7771
_cell_angle_alpha 90.00
_cell_angle_beta 131.27
_cell_angle_gamma 90.00
loop_
_symmetry_equiv_pos_as_xyz
'x,y,z'
'-x,-y,-z'
'-x,y,-z+1/2'
'x,-y,z+1/2'
'x+1/2,y+1/2,z'
'-x+1/2,-y+1/2,-z'
'-x+1/2,y+1/2,-z+1/2'
'x+1/2,-y+1/2,z+1/2'
loop_
_atom_site_label
_atom_site_type_symbol
_atom_site_fract_x
_atom_site_fract_y
_atom_site_fract_z
Ta1 Ta 0.0000 0.0529 0.2500
Pd1 Pd 0.0000 0.3084 0.7500
Se1 Se 0.1882 0.2020 0.2388
Se2 Se 0.2263 0.4438 0.1643
```

***

DFT (PBE-GGA) results for an optimized crystal structure of LaZr2Zn.

Output
D(E_F)   1.115 states/eV/atom
Formation energy from the elements   0.22 eV/f.u.
E_tot   -23.08 eV for the cell shown
Magnetic moment   0.00 μB per formula unit

```
data_LaZr2Zn
_chemical_formula_sum 'La1 Zr2 Zn1'
_symmetry_space_group_name_H-M 'P 4/m m m'
_symmetry_Int_Tables_number 123
_symmetry_space_group_name_Hall '-P 4 2'
_cell_length_a 4.5573
_cell_length_b 4.5573
_cell_length_c 4.5177
_cell_angle_alpha 90.00
_cell_angle_beta 90.00
_cell_angle_gamma 90.00
loop_
_atom_site_label
_atom_site_type_symbol
_atom_site_fract_x
_atom_site_fract_y
_atom_site_fract_z
La1 La 0.0000 0.0000 0.0000
Zr1 Zr 0.0000 0.5000 0.5000
Zn1 Zn 0.5000 0.5000 0.0000
```